VASP calculation (PBE) on an optimized crystal structure of Li14InHg.

Calculated formation energy = -121 meV/atom
M_tot = 0.00 μB/f.u.
Theoretical density = 2.28 Mg/m³

```
Li14InHg
1.0
6.917 0.000 0.000
0.000 6.917 0.000
0.000 0.000 6.279
Li In Hg
14 1 1
Direct
0.000 0.000 0.000
0.000 0.500 0.000
0.000 0.500 0.500
0.247 0.247 0.261
0.247 0.247 0.739
0.247 0.753 0.261
0.247 0.753 0.739
0.500 0.000 0.000
0.500 0.000 0.500
0.500 0.500 0.000
0.753 0.247 0.261
0.753 0.247 0.739
0.753 0.753 0.261
0.753 0.753 0.739
0.500 0.500 0.500
0.000 0.000 0.500
```